A relaxed Y2TlRu crystal. Source: Alexandria, functional GGA-PBEsol.

Structure (POSCAR):
```
Y2TlRu
1.0
3.394 0.000 0.000
0.000 3.394 0.000
0.000 0.000 8.161
Tl Ru Y
1 1 2
Direct
0.500 0.500 0.705
0.000 0.000 0.514
0.500 0.500 0.321
0.000 0.000 0.960
```

- formation energy (eV per atom) = -0.04
- theoretical density (g cm⁻³) = 8.535
- N(E_F) (states/eV/cell) = 5.13
- E (eV per atom) = -6.6485